Record 1
Compound: NaNdHfO4
Source: the Alexandria database
Functional: PBE
Structure: optimized geometry

Values from the calculation:
DFT total energy	-8.126	eV/atom
crystal system	tetragonal

Lattice parameters (Å, degrees): 4.016 4.016 12.527 90.00 90.00 90.00
Space group I4mm (No. 107)
Symmetry-distinct sites (fractional):
Na 0.000 0.000 0.000 x2
Nd 0.000 0.000 0.694 x2
Hf 0.000 0.000 0.353 x2
O 0.000 0.000 0.176 x2
O 0.000 0.000 0.514 x2
O 0.000 0.500 0.327 x4

=====

Record 2
Compound: ErTiFeCo
Source: the Alexandria database
Functional: PBE
Structure: optimized geometry

Values from the calculation:
energy relative to the elements	-0.107	eV per atom
DFT total energy	-7.114	eV/atom
crystal system	cubic

Lattice parameters (Å, degrees): 6.257 6.257 6.257 90.00 90.00 90.00
Space group F-43m (No. 216)
Symmetry-distinct sites (fractional):
Er 0.000 0.000 0.000 x4
Ti 0.000 0.000 0.500 x4
Fe 0.250 0.250 0.250 x4
Co 0.250 0.250 0.750 x4

=====

Record 3
Compound: CuBSe2N
Source: the Alexandria database
Functional: PBE
Structure: optimized geometry

Values from the calculation:
energy above the most stable polymorph in this dataset	1307	meV per atom
DFT total energy	-3.575	eV/atom
crystal system	tetragonal

Lattice parameters (Å, degrees): 4.977 4.977 3.477 90.00 90.00 90.00
Space group P4/mmm (No. 123)
Symmetry-distinct sites (fractional):
Cu 0.000 0.000 0.000 x1
B 0.500 0.500 0.500 x1
Se 0.000 0.500 0.000 x2
N 0.000 0.000 0.500 x1

=====

Record 4
Compound: ErCuAg2
Source: the Alexandria database
Functional: PBE
Structure: optimized geometry

Values from the calculation:
energy above the most stable polymorph in this dataset	11	meV per atom
energy relative to the elements	-0.099	eV per atom
DFT total energy	-3.690	eV/atom
crystal system	tetragonal

Lattice parameters (Å, degrees): 3.439 3.439 6.486 90.00 90.00 90.00
Space group P4/mmm (No. 123)
Symmetry-distinct sites (fractional):
Er 0.000 0.000 0.000 x1
Cu 0.000 0.000 0.500 x1
Ag 0.500 0.500 0.286 x2

=====

Record 5
Compound: NbHS2N
Source: the Alexandria database
Functional: PBE
Structure: optimized geometry

Values from the calculation:
energy above the most stable polymorph in this dataset	194	meV per atom
DFT total energy	-5.236	eV/atom
crystal system	tetragonal

Lattice parameters (Å, degrees): 3.333 3.333 5.222 90.00 90.00 90.00
Space group P4/mmm (No. 123)
Symmetry-distinct sites (fractional):
Nb 0.000 0.000 0.000 x1
H 0.500 0.500 0.500 x1
S 0.000 0.500 0.500 x2
N 0.500 0.500 0.000 x1

=====

Record 6
Compound: Zr2Ti2Zn
Source: the Alexandria database
Functional: PBE
Structure: optimized geometry

Values from the calculation:
energy above the most stable polymorph in this dataset	0	meV per atom
energy relative to the elements	-0.057	eV per atom
DFT total energy	-6.889	eV/atom
crystal system	monoclinic

Lattice parameters (Å, degrees): 10.156 5.384 7.481 90.00 112.09 90.00
Space group C2/c (No. 15)
Symmetry-distinct sites (fractional):
Zr 0.212 0.116 0.164 x8
Ti 0.084 0.321 0.440 x8
Zn 0.000 0.178 0.750 x4

=====

Record 7
Compound: Ho2MgTi2Rh5
Source: the Alexandria database
Functional: PBE
Structure: optimized geometry

Values from the calculation:
energy relative to the elements	-0.639	eV per atom
DFT total energy	-6.968	eV/atom
crystal system	tetragonal

Lattice parameters (Å, degrees): 10.093 10.093 3.495 90.00 90.00 90.00
Space group P4/mbm (No. 127)
Symmetry-distinct sites (fractional):
Ho 0.177 0.323 0.000 x4
Mg 0.000 0.000 0.000 x2
Ti 0.124 0.624 0.000 x4
Rh 0.000 0.500 0.500 x2
Rh 0.065 0.793 0.500 x8

=====

Record 8
Compound: ReAg2Ru
Source: the Alexandria database
Functional: PBE
Structure: optimized geometry

Values from the calculation:
energy above the most stable polymorph in this dataset	376	meV per atom
energy relative to the elements	0.625	eV per atom
DFT total energy	-6.232	eV/atom
crystal system	trigonal

Lattice parameters (Å, degrees): 2.7632 2.7632 28.8728 90.00 90.00 120.00
Space group R-3m (No. 166, hexagonal axes)
Symmetry-distinct sites (fractional):
Re 0.0000 0.0000 0.0000 x3
Ag 0.0000 0.0000 0.2496 x6
Ru 0.0000 0.0000 0.5000 x3